Entry 1:
VASP calculation (PBE) on a relaxed structure of Pa2AlTc2.

Calculated formation energy, eV per atom: -0.3608
Uncorrected energy, eV per atom: -9.054

```
10
Lattice="5.1260 -2.5561 0.0000 5.1260 2.5561 0.0000 -2.8478 0.0000 7.8175" Properties=species:S:1:pos:R:3 pbc="T T T"
Pa 1.1683 0.7317 1.0715
Pa -0.2557 -0.7317 4.9803
Pa 7.6597 0.7317 2.8372
Pa 6.2358 -0.7317 6.7460
Al 4.4140 0.6089 1.9544
Al 2.9901 -0.6089 5.8631
Tc 2.4164 0.7527 3.5913
Tc 6.4115 0.7527 0.3174
Tc 0.9925 -0.7527 7.5001
Tc 4.9876 -0.7527 4.2262
```


Entry 2:
VASP calculation (PBE) on a relaxed structure of Pa4AlTc5.

Calculated formation energy, eV per atom: -0.1884
Uncorrected energy, eV per atom: -9.544

```
10
Lattice="-4.1869 4.1869 2.7642 4.1869 -4.1869 2.7642 4.1869 4.1869 -2.7642" Properties=species:S:1:pos:R:3 pbc="T T T"
Pa 2.5413 0.7023 0.0000
Pa 3.4847 -1.6457 2.7642
Pa 0.7023 5.8326 0.0000
Pa 1.6457 3.4847 2.7642
Al 0.0000 0.0000 3.8011
Tc 0.0000 0.0000 0.8499
Tc 4.8713 1.9809 -0.1000
Tc 1.9809 3.5026 -0.1000
Tc 2.2060 0.6843 2.6642
Tc -0.6843 2.2060 2.6642
```


Entry 3:
VASP calculation (PBE) on a relaxed structure of Pa2AlTc.

Calculated formation energy, eV per atom: -0.2012
Uncorrected energy, eV per atom: -8.476

```
4
Lattice="4.3587 0.0000 0.0000 0.0000 4.3587 0.0000 0.0000 0.0000 4.2565" Properties=species:S:1:pos:R:3 pbc="T T T"
Pa 0.0000 2.1794 0.0000
Pa 2.1794 0.0000 0.0000
Al 0.0000 0.0000 2.1283
Tc 2.1794 2.1794 2.1283
```


Entry 4:
VASP calculation (PBE) on a relaxed structure of Pa12AlTc6.

Calculated formation energy, eV per atom: 0.2102
Uncorrected energy, eV per atom: -9.258

```
19
Lattice="5.9608 3.4415 3.8763 -5.9608 3.4415 3.8763 0.0000 -6.8829 3.8763" Properties=species:S:1:pos:R:3 pbc="T T T"
Pa -3.5820 -4.0057 6.2787
Pa -5.2601 1.0993 5.3501
Pa -1.2605 -1.7230 4.3727
Pa 1.6780 -5.1050 5.3501
Pa -0.8619 1.9531 4.3727
Pa -2.1224 0.2301 7.2561
Pa 2.1224 -0.2301 4.3727
Pa 0.8619 -1.9531 7.2561
Pa -1.6780 5.1050 6.2787
Pa 1.2605 1.7230 7.2562
Pa 5.2600 -1.0993 6.2787
Pa 3.5820 4.0057 5.3501
Al 0.0000 0.0000 0.0000
Tc -2.9591 0.3473 4.2913
Tc 1.1788 -2.7363 4.2913
Tc -1.7803 -2.3890 7.3375
Tc 1.7803 2.3890 4.2913
Tc -1.1788 2.7363 7.3375
Tc 2.9591 -0.3473 7.3375
```


Entry 5:
VASP calculation (PBE) on a relaxed structure of Pa2AlTc.

Calculated formation energy, eV per atom: -0.1051
Uncorrected energy, eV per atom: -8.380

```
4
Lattice="3.6948 0.0000 0.0000 0.0000 3.6948 0.0000 0.0000 0.0000 6.1990" Properties=species:S:1:pos:R:3 pbc="T T T"
Pa 0.0000 0.0000 1.4741
Pa 0.0000 0.0000 4.7250
Al 1.8474 1.8474 3.0995
Tc 1.8474 1.8474 0.0000
```


Entry 6:
VASP calculation (PBE) on a relaxed structure of PaTiAlTc.

Calculated formation energy, eV per atom: -0.3300
Uncorrected energy, eV per atom: -8.205

```
16
Lattice="6.5459 0.0000 0.0000 0.0000 6.5459 0.0000 0.0000 0.0000 6.5459" Properties=species:S:1:pos:R:3 pbc="T T T"
Pa 0.0000 0.0000 0.0000
Pa 0.0000 3.2730 3.2730
Pa 3.2730 0.0000 3.2730
Pa 3.2730 3.2730 0.0000
Ti 1.6365 1.6365 4.9094
Ti 1.6365 4.9094 1.6365
Ti 4.9094 1.6365 1.6365
Ti 4.9094 4.9094 4.9094
Al 0.0000 0.0000 3.2730
Al 0.0000 3.2730 0.0000
Al 3.2730 0.0000 0.0000
Al 3.2730 3.2730 3.2730
Tc 1.6365 1.6365 1.6365
Tc 1.6365 4.9094 4.9094
Tc 4.9094 1.6365 4.9094
Tc 4.9094 4.9094 1.6365
```


Entry 7:
VASP calculation (PBE) on a relaxed structure of TmPaAlTc.

Calculated formation energy, eV per atom: -0.1343
Uncorrected energy, eV per atom: -7.153

```
16
Lattice="6.9689 0.0000 0.0000 0.0000 6.9689 0.0000 0.0000 0.0000 6.9689" Properties=species:S:1:pos:R:3 pbc="T T T"
Tm 0.0000 0.0000 0.0000
Tm 0.0000 3.4845 3.4845
Tm 3.4845 0.0000 3.4845
Tm 3.4845 3.4845 0.0000
Pa 0.0000 0.0000 3.4845
Pa 0.0000 3.4845 0.0000
Pa 3.4845 0.0000 0.0000
Pa 3.4845 3.4845 3.4845
Al 1.7422 1.7422 5.2267
Al 1.7422 5.2267 1.7422
Al 5.2267 1.7422 1.7422
Al 5.2267 5.2267 5.2267
Tc 1.7422 1.7422 1.7422
Tc 1.7422 5.2267 5.2267
Tc 5.2267 1.7422 5.2267
Tc 5.2267 5.2267 1.7422
```


Entry 8:
VASP calculation (PBE) on a relaxed structure of UPa2Al2Tc5.

Calculated formation energy, eV per atom: -0.2597
Uncorrected energy, eV per atom: -9.219

```
20
Lattice="10.2204 0.0000 0.0000 0.0000 10.2204 0.0000 0.0000 0.0000 3.4112" Properties=species:S:1:pos:R:3 pbc="T T T"
U 0.0000 0.0000 0.0000
U 5.1102 5.1102 0.0000
Pa 1.7221 3.3881 0.0000
Pa 3.3881 8.4983 0.0000
Pa 6.8323 1.7221 0.0000
Pa 8.4983 6.8323 0.0000
Al 1.3087 6.4189 0.0000
Al 3.8015 1.3087 0.0000
Al 6.4189 8.9116 0.0000
Al 8.9116 3.8015 0.0000
Tc 0.0000 5.1102 1.7056
Tc 0.7886 8.2205 1.7056
Tc 1.9998 0.7886 1.7056
Tc 3.1103 5.8988 1.7056
Tc 4.3216 3.1103 1.7056
Tc 5.1102 0.0000 1.7056
Tc 5.8988 7.1100 1.7056
Tc 7.1100 4.3216 1.7056
Tc 8.2205 9.4317 1.7056
Tc 9.4317 1.9998 1.7056
```


Entry 9:
VASP calculation (PBE) on a relaxed structure of YPaAlTc.

Calculated formation energy, eV per atom: -0.0887
Uncorrected energy, eV per atom: -7.606

```
16
Lattice="7.0204 0.0000 0.0000 0.0000 7.0204 0.0000 0.0000 0.0000 7.0204" Properties=species:S:1:pos:R:3 pbc="T T T"
Y 0.0000 0.0000 0.0000
Y 0.0000 3.5102 3.5102
Y 3.5102 0.0000 3.5102
Y 3.5102 3.5102 0.0000
Pa 0.0000 0.0000 3.5102
Pa 0.0000 3.5102 0.0000
Pa 3.5102 0.0000 0.0000
Pa 3.5102 3.5102 3.5102
Al 1.7551 1.7551 5.2653
Al 1.7551 5.2653 1.7551
Al 5.2653 1.7551 1.7551
Al 5.2653 5.2653 5.2653
Tc 1.7551 1.7551 1.7551
Tc 1.7551 5.2653 5.2653
Tc 5.2653 1.7551 5.2653
Tc 5.2653 5.2653 1.7551
```


Entry 10:
VASP calculation (PBE) on a relaxed structure of PaAlZnTc.

Calculated formation energy, eV per atom: -0.0784
Uncorrected energy, eV per atom: -6.298

```
16
Lattice="6.6197 0.0000 0.0000 0.0000 6.6197 0.0000 0.0000 0.0000 6.6197" Properties=species:S:1:pos:R:3 pbc="T T T"
Pa 0.0000 0.0000 0.0000
Pa 0.0000 3.3099 3.3099
Pa 3.3099 0.0000 3.3099
Pa 3.3099 3.3099 0.0000
Al 0.0000 0.0000 3.3099
Al 0.0000 3.3099 0.0000
Al 3.3099 0.0000 0.0000
Al 3.3099 3.3099 3.3099
Zn 1.6549 1.6549 4.9648
Zn 1.6549 4.9648 1.6549
Zn 4.9648 1.6549 1.6549
Zn 4.9648 4.9648 4.9648
Tc 1.6549 1.6549 1.6549
Tc 1.6549 4.9648 4.9648
Tc 4.9648 1.6549 4.9648
Tc 4.9648 4.9648 1.6549
```


Entry 11:
VASP calculation (PBE) on a relaxed structure of ZrPaAlTc.

Calculated formation energy, eV per atom: -0.2422
Uncorrected energy, eV per atom: -8.280

```
16
Lattice="6.7158 0.0000 0.0000 0.0000 6.7158 0.0000 0.0000 0.0000 6.7158" Properties=species:S:1:pos:R:3 pbc="T T T"
Zr 0.0000 0.0000 0.0000
Zr 0.0000 3.3579 3.3579
Zr 3.3579 0.0000 3.3579
Zr 3.3579 3.3579 0.0000
Pa 1.6790 1.6790 5.0369
Pa 1.6790 5.0369 1.6790
Pa 5.0369 1.6790 1.6790
Pa 5.0369 5.0369 5.0369
Al 1.6790 1.6790 1.6790
Al 1.6790 5.0369 5.0369
Al 5.0369 1.6790 5.0369
Al 5.0369 5.0369 1.6790
Tc 0.0000 0.0000 3.3579
Tc 0.0000 3.3579 0.0000
Tc 3.3579 0.0000 0.0000
Tc 3.3579 3.3579 3.3579
```


Entry 12:
VASP calculation (PBE) on a relaxed structure of PaAl2Te6.

Formation energy (no corrections), kcal/mol of atoms: -9.45
Uncorrected energy, eV per atom: -4.391

```
18
Lattice="6.9288 -6.4127 0.0000 6.9288 6.4127 0.0000 -1.7754 0.0000 7.4158" Properties=species:S:1:pos:R:3 pbc="T T T"
Pa 5.5973 5.1073 5.5618
Pa 6.4850 -5.1073 1.8539
Al 3.1926 0.9926 5.1301
Al 4.0803 -0.9926 1.4222
Al 8.0020 0.9926 5.9936
Al 8.8896 -0.9926 2.2857
Te 0.5315 0.9933 4.7103
Te 3.3211 3.3845 6.2220
Te 1.4191 -0.9933 1.0024
Te 4.7492 1.0231 2.9915
Te 7.8735 3.3845 4.9017
Te 3.8615 -1.0231 6.6994
Te 8.2208 1.0231 0.7164
Te 4.2088 -3.3845 2.5141
Te 7.3331 -1.0231 4.4243
Te 10.6631 0.9933 6.4133
Te 8.7612 -3.3845 1.1938
Te 11.5508 -0.9933 2.7055
```